Entry 1:
## KLiSm2Mo4O16 (GGA-PBEsol)

Data for crystalline KLiSm2Mo4O16 at its relaxed geometry.

Structure (POSCAR):
```
KLiSm2Mo4O16
1.0
2.614 -6.328 0.000
2.614 6.328 0.000
-1.154 0.000 19.363
K Li Sm Mo O
2 2 4 8 32
direct
0.034 0.966 0.750 K
0.966 0.034 0.250 K
0.314 0.686 0.750 Li
0.686 0.314 0.250 Li
0.146 0.853 0.533 Sm
0.147 0.854 0.967 Sm
0.853 0.146 0.033 Sm
0.854 0.147 0.467 Sm
0.243 0.737 0.351 Mo
0.263 0.757 0.149 Mo
0.421 0.546 0.907 Mo
0.454 0.579 0.593 Mo
0.546 0.421 0.407 Mo
0.579 0.454 0.093 Mo
0.737 0.243 0.851 Mo
0.757 0.263 0.649 Mo
0.000 0.269 0.828 O
0.000 0.731 0.172 O
0.062 0.479 0.285 O
0.064 0.589 0.431 O
0.104 0.411 0.135 O
0.175 0.511 0.957 O
0.225 0.262 0.538 O
0.230 0.323 0.397 O
0.262 0.225 0.038 O
0.269 0.000 0.328 O
0.294 0.478 0.671 O
0.323 0.230 0.897 O
0.411 0.104 0.635 O
0.411 0.936 0.069 O
0.478 0.294 0.171 O
0.479 0.062 0.785 O
0.489 0.825 0.543 O
0.511 0.175 0.457 O
0.521 0.938 0.215 O
0.522 0.706 0.829 O
0.589 0.064 0.931 O
0.589 0.896 0.365 O
0.677 0.770 0.103 O
0.706 0.522 0.329 O
0.731 0.000 0.672 O
0.738 0.775 0.962 O
0.770 0.677 0.603 O
0.775 0.738 0.462 O
0.825 0.489 0.043 O
0.896 0.589 0.865 O
0.936 0.411 0.569 O
0.938 0.521 0.715 O
```

SG: No. 15
E_form (uncorrected): -2.441 eV per atom

***

Entry 2:
## KLiTm2Mo4O16 (GGA-PBEsol)

Data for crystalline KLiTm2Mo4O16 at its relaxed geometry.

Structure (POSCAR):
```
KLiTm2Mo4O16
1.0
2.557 -6.171 0.000
2.557 6.171 0.000
-1.237 0.000 19.263
K Li Tm Mo O
2 2 4 8 32
direct
0.033 0.967 0.750 K
0.967 0.033 0.250 K
0.315 0.685 0.750 Li
0.685 0.315 0.250 Li
0.145 0.851 0.531 Tm
0.149 0.855 0.969 Tm
0.851 0.145 0.031 Tm
0.855 0.149 0.469 Tm
0.244 0.735 0.354 Mo
0.265 0.756 0.146 Mo
0.421 0.545 0.908 Mo
0.455 0.579 0.592 Mo
0.545 0.421 0.408 Mo
0.579 0.455 0.092 Mo
0.735 0.244 0.854 Mo
0.756 0.265 0.646 Mo
0.003 0.271 0.830 O
0.050 0.578 0.434 O
0.067 0.479 0.286 O
0.096 0.400 0.130 O
0.164 0.502 0.959 O
0.217 0.254 0.536 O
0.224 0.326 0.399 O
0.254 0.217 0.036 O
0.271 0.003 0.330 O
0.293 0.473 0.670 O
0.326 0.224 0.899 O
0.400 0.096 0.630 O
0.422 0.950 0.066 O
0.473 0.293 0.170 O
0.479 0.067 0.786 O
0.498 0.836 0.541 O
0.502 0.164 0.459 O
0.521 0.933 0.214 O
0.527 0.707 0.830 O
0.578 0.050 0.934 O
0.600 0.904 0.370 O
0.674 0.776 0.101 O
0.707 0.527 0.330 O
0.729 0.997 0.670 O
0.746 0.783 0.964 O
0.776 0.674 0.601 O
0.783 0.746 0.464 O
0.836 0.498 0.041 O
0.904 0.600 0.870 O
0.933 0.521 0.714 O
0.950 0.422 0.566 O
0.997 0.729 0.170 O
```

SG: No. 15
E_form (uncorrected): -2.459 eV per atom

***

Number 1: M_tot 0.00 μB/cell. Number 2: M_tot 0.00 μB/cell.